Ca2CrMo at its PBEsol-relaxed geometry. Source: Alexandria via LeMat-Bulk, functional meta-GGA SCAN.

abc: 4.0223 4.2053 4.9218
angles: 90.00 90.00 90.00
Positions (direct):
Ca 0.0000 0.0000 0.0000
Mo 0.0000 0.5000 0.5000
Ca 0.5000 0.5000 0.0000
Cr 0.5000 0.0000 0.5000

Summary:
Calculated formation energy in eV/atom: 0.828
Crystal system: orthorhombic
DOS at the Fermi energy in states/eV/cell: 2.3
Energy in eV per atom: -17.321